A plane-wave DFT calculation with PBE was carried out for a relaxed structure of Li2CuAg3F8.

The structure in POSCAR format:
```
Li2CuAg3F8
1.0
5.6147 0.0000 0.0000
-2.8073 4.8624 0.0000
0.0000 0.0000 6.8555
Cu F Ag Li
1 8 3 2
direct
0.0000 0.0000 0.5000
0.3257 0.1629 0.6701
0.1629 0.3257 0.3299
0.1629 0.8371 0.3299
0.8371 0.6743 0.6701
0.8371 0.1629 0.6701
0.6667 0.3333 0.0675
0.6743 0.8371 0.3299
0.3333 0.6667 0.9325
0.0000 0.0000 0.0000
0.3333 0.6667 0.6209
0.6667 0.3333 0.3791
0.3333 0.6667 0.1902
0.6667 0.3333 0.8098
```

VASP energy ... -3.85 eV per atom
Raw formation energy ... -154.8 kJ/mol of atoms
V ... 187 Å³ per cell